This record from Alexandria describes a geometry-optimized Ba4Al2H structure. The functional is PBE-GGA.

The space group is I4/mmm (No. 139) and the conventional cell measures 5.640, 5.640 and 16.891 Å, with angles of 90.00, 90.00 and 90.00 degrees. The distinct sites, in fractional coordinates, are Ba at (0.000, 0.000, 0.186), Ba at (0.000, 0.500, 0.000), Al at (0.000, 0.000, 0.386) and H at (0.000, 0.000, 0.000).

Its electronic total energy is -2.75 eV per atom. Its distance to the lowest polymorph of the same formula is 0.000 eV per atom.